Ac8GaPt2 (PBE, optimized geometry); DFT total energy = -0.1750 hartree per atom; ρ = 9.19 g cm⁻³; calculated volume = 411.18 Å³/f.u.; total moment = 0.00 μB/f.u.; SG = Cm (8); energy relative to the elements = -426 kJ/mol of formula units
1.0
6.513 0.225 -0.989
-2.023 7.505 -3.233
0.011 -0.179 8.417
Ac Ga Pt
8 1 2
Direct
0.189 0.380 0.380
0.980 0.221 0.771
0.369 0.657 0.922
0.581 0.342 0.080
0.799 0.641 0.641
0.980 0.771 0.221
0.369 0.922 0.657
0.581 0.080 0.342
0.156 0.011 0.011
0.498 0.311 0.698
0.498 0.698 0.311

AcGa2Pt (PBE, optimized geometry); DFT total energy = -0.1739 hartree per atom; ρ = 10.53 g cm⁻³; calculated volume = 88.58 Å³/f.u.; total moment = 0.00 μB/f.u.; SG = Amm2 (38); energy relative to the elements = -263 kJ/mol of formula units; offset from the most stable computed form = 0.143 eV per atom
1.0
4.733 0.000 0.000
-2.367 5.473 0.000
0.000 0.000 6.839
Ac Ga Pt
2 4 2
Direct
0.571 0.142 0.000
0.758 0.516 0.500
0.054 0.108 0.308
0.054 0.108 0.692
0.866 0.733 0.000
0.455 0.909 0.500
0.286 0.571 0.800
0.286 0.571 0.200

Ac3Ga3Pt2 (PBE, optimized geometry); DFT total energy = -0.1847 hartree per atom; ρ = 10.33 g cm⁻³; calculated volume = 205.78 Å³/f.u.; total moment = 0.00 μB/f.u.; SG = Cmcm (63); energy relative to the elements = -648 kJ/mol of formula units; offset from the most stable computed form = 0.027 eV per atom
1.0
-0.542 4.162 -1.478
-1.418 -4.111 -4.359
-15.272 -0.167 5.127
Ac Pt Ga
6 4 6
Direct
0.066 0.132 0.606
0.066 0.132 0.894
0.657 0.313 0.250
0.934 0.868 0.106
0.934 0.868 0.394
0.343 0.687 0.750
0.776 0.553 0.610
0.224 0.447 0.390
0.224 0.447 0.110
0.776 0.553 0.890
0.344 0.688 0.536
0.344 0.688 0.964
0.656 0.312 0.036
0.637 0.275 0.750
0.656 0.312 0.464
0.363 0.725 0.250